## Hf2Sc4Tl3C3 (GGA-PBE)

Data for a geometry-optimized Hf2Sc4Tl3C3 structure.

## Properties
- raw total energy (eV per atom) = -7.223
- calculated volume (Å³ per cell) = 889.1

Cell: 10.076 5.822 15.528 Å, 90.00 102.58 90.00°
Space group C2/c (No. 15)
Symmetry-distinct sites (fractional):
Hf 0.060 0.086 0.422 (multiplicity 8)
Sc 0.111 0.422 0.582 (multiplicity 8)
Sc 0.220 0.414 0.918 (multiplicity 8)
Tl 0.000 0.408 0.250 (multiplicity 4)
Tl 0.162 0.080 0.749 (multiplicity 8)
C 0.080 0.239 0.000 (multiplicity 8)
C 0.250 0.250 0.500 (multiplicity 4)